A.
Computed, not measured: an optimized crystal structure of Pu7Ru2Rh2 at the PBE level of DFT.

The structure in extended XYZ format:
```
11
Lattice="6.364 0.165 -0.079 0.393 5.584 -0.365 -0.475 -0.170 6.346" Properties=species:S:1:pos:R:3 pbc="T T T"
Pu 0.377 1.241 3.454
Pu 3.816 4.340 0.225
Pu 5.905 4.338 2.449
Pu 2.466 1.239 5.677
Pu 0.000 0.000 0.000
Pu 3.361 4.222 2.746
Pu 2.921 1.356 3.157
Ru 5.149 2.788 5.088
Ru 1.133 2.791 0.814
Rh 4.878 1.746 1.319
Rh 1.404 3.833 4.584
```

Summary:
SG = C2/m
total magnetization = 5.11 μB per cell

=====

B.
Computed, not measured: an optimized crystal structure of Pu7Ru2Rh2 at the PBE level of DFT.

The structure in extended XYZ format:
```
11
Lattice="4.391 0.000 -1.340 -1.145 6.604 -3.751 0.052 0.172 8.032" Properties=species:S:1:pos:R:3 pbc="T T T"
Pu 0.722 0.349 2.371
Pu 0.098 3.021 0.323
Pu 2.236 0.198 7.325
Pu 1.036 3.595 3.395
Pu 1.890 5.272 -1.670
Pu 2.817 4.631 1.364
Pu 3.644 1.421 4.078
Ru 0.378 6.076 1.235
Ru 2.774 1.732 1.230
Rh 3.704 4.371 4.270
Rh 1.797 2.421 -1.975
```

Summary:
SG = Cm
total magnetization = 4.28 μB per cell

=====

Pick B: it beats the second-best structure by 0.071 eV/atom.